#a
The following is a DFT calculation (GGA-PBE) of an optimized crystal structure of Li4GePb.

The structure in extended XYZ format:
```
6
Lattice="3.061 0.000 0.000 0.000 4.473 0.000 -0.352 0.000 7.994" Properties=species:S:1:pos:R:3 pbc="T T T"
Li 0.000 0.000 0.000
Li 0.136 2.237 3.690
Li 2.137 2.237 1.308
Li 2.383 0.000 5.027
Ge 1.172 0.000 2.520
Pb 1.010 2.237 6.495
```

- Spin magnetization: 0.00 μB/f.u.
- Crystal system: monoclinic

=====

#b
The following is a DFT calculation (GGA-PBE) of an optimized crystal structure of Li4GePb.

The structure in extended XYZ format:
```
6
Lattice="4.895 -2.261 0.000 4.895 2.261 0.000 -3.415 0.000 4.865" Properties=species:S:1:pos:R:3 pbc="T T T"
Li 0.379 0.000 1.588
Li -1.196 0.000 4.196
Li 7.570 0.000 0.669
Li 5.995 0.000 3.278
Ge 4.895 0.000 0.000
Pb 3.187 0.000 2.433
```

- Spin magnetization: 0.00 μB/f.u.
- Crystal system: monoclinic

=====

What are the relative energies? In meV per atom: #a 8; #b 0.

=====

#a
The following is a DFT calculation (GGA-PBE) of an optimized crystal structure of Li3GePb.

The structure in extended XYZ format:
```
5
Lattice="4.802 0.000 0.000 0.000 4.802 0.000 0.000 0.000 4.802" Properties=species:S:1:pos:R:3 pbc="T T T"
Li 0.000 0.000 2.401
Li 0.000 2.401 0.000
Li 2.401 0.000 0.000
Ge 0.000 0.000 0.000
Pb 2.401 2.401 2.401
```

- Spin magnetization: 0.00 μB/f.u.
- Crystal system: cubic

=====

#b
The following is a DFT calculation (GGA-PBE) of an optimized crystal structure of Li3GePb.

The structure in extended XYZ format:
```
10
Lattice="5.144 -2.265 0.000 5.144 2.265 0.000 -1.503 0.000 8.211" Properties=species:S:1:pos:R:3 pbc="T T T"
Li -0.116 0.000 2.682
Li 1.580 0.000 6.495
Li 4.186 0.000 0.993
Li 4.600 0.000 7.217
Li 7.205 0.000 1.716
Li 8.902 0.000 5.528
Ge 1.230 0.000 0.377
Ge 7.555 0.000 7.834
Pb 2.875 0.000 3.595
Pb 5.911 0.000 4.616
```

- Spin magnetization: 0.00 μB/f.u.
- Crystal system: monoclinic

=====

#c
The following is a DFT calculation (GGA-PBE) of an optimized crystal structure of Li3GePb.

The structure in extended XYZ format:
```
5
Lattice="5.055 0.000 0.000 0.000 5.055 0.000 0.000 0.000 5.055" Properties=species:S:1:pos:R:3 pbc="T T T"
Li 0.000 0.000 2.528
Li 0.000 2.528 0.000
Li 2.528 0.000 0.000
Ge 2.528 2.528 2.528
Pb 0.000 0.000 0.000
```

- Spin magnetization: 0.00 μB/f.u.
- Crystal system: cubic

=====

#d
The following is a DFT calculation (GGA-PBE) of an optimized crystal structure of Li3GePb.

The structure in extended XYZ format:
```
10
Lattice="-4.734 4.233 2.823 4.734 -4.233 2.823 4.734 4.233 -2.823" Properties=species:S:1:pos:R:3 pbc="T T T"
Li 2.367 4.171 -1.404
Li 0.169 2.104 0.000
Li 4.564 2.104 0.000
Li 2.367 0.061 1.420
Li 0.169 2.128 2.823
Li 4.564 2.128 2.823
Ge 2.367 2.669 1.408
Ge 2.367 1.564 4.232
Pb -2.367 2.942 1.415
Pb 2.367 5.524 1.415
```

- Spin magnetization: 0.00 μB/f.u.
- Crystal system: orthorhombic

=====

What are the relative energies? In meV per atom: #a 246; #b 0; #c 615; #d 110.

=====

#a
The following is a DFT calculation (GGA-PBE) of an optimized crystal structure of Li2Ge2Pb.

The structure in extended XYZ format:
```
5
Lattice="-2.140 2.140 5.797 2.140 -2.140 5.797 2.140 2.140 -5.797" Properties=species:S:1:pos:R:3 pbc="T T T"
Li 2.140 0.000 2.899
Li 0.000 2.140 2.899
Ge 0.000 0.000 1.200
Ge 0.000 0.000 10.394
Pb 0.000 0.000 5.797
```

- Spin magnetization: 0.00 μB/f.u.
- Crystal system: tetragonal

=====

#b
The following is a DFT calculation (GGA-PBE) of an optimized crystal structure of Li2Ge2Pb.

The structure in extended XYZ format:
```
10
Lattice="7.885 0.000 0.000 0.000 7.885 0.000 0.000 0.000 3.188" Properties=species:S:1:pos:R:3 pbc="T T T"
Li 1.444 2.499 0.000
Li 2.499 6.441 0.000
Li 5.386 1.444 0.000
Li 6.441 5.386 0.000
Ge 0.893 4.835 1.594
Ge 3.050 0.893 1.594
Ge 4.835 6.992 1.594
Ge 6.992 3.050 1.594
Pb 0.000 0.000 1.594
Pb 3.942 3.942 1.594
```

- Spin magnetization: 0.00 μB/f.u.
- Crystal system: tetragonal

=====

What are the relative energies? In meV per atom: #a 49; #b 0.

=====

#a
The following is a DFT calculation (GGA-PBE) of an optimized crystal structure of LiGePb.

The structure in extended XYZ format:
```
3
Lattice="4.732 0.000 0.000 -2.366 4.098 0.000 0.000 0.000 3.540" Properties=species:S:1:pos:R:3 pbc="T T T"
Li 0.000 0.000 0.000
Ge 2.366 1.366 3.178
Pb 0.000 2.732 1.767
```

- Spin magnetization: 0.00 μB/f.u.
- Crystal system: trigonal

=====

#b
The following is a DFT calculation (GGA-PBE) of an optimized crystal structure of LiGePb.

The structure in extended XYZ format:
```
12
Lattice="3.102 -6.732 0.000 3.102 6.732 0.000 0.000 0.000 6.319" Properties=species:S:1:pos:R:3 pbc="T T T"
Li 1.551 -0.006 1.580
Li 1.551 0.006 4.739
Li 4.653 -0.006 1.580
Li 4.653 0.006 4.739
Ge 3.102 5.201 6.315
Ge 3.102 1.532 3.156
Ge 3.102 -1.532 3.163
Ge 3.102 -5.201 0.004
Pb 3.102 4.479 3.169
Pb 3.102 2.254 0.010
Pb 3.102 -2.254 6.309
Pb 3.102 -4.479 3.150
```

- Spin magnetization: 0.00 μB/f.u.
- Crystal system: orthorhombic

=====

What are the relative energies? In meV per atom: #a 56; #b 0.

=====

#a
The following is a DFT calculation (GGA-PBE) of an optimized crystal structure of Li2GePb2.

The structure in extended XYZ format:
```
10
Lattice="8.210 0.000 0.000 0.000 8.210 0.000 0.000 0.000 3.416" Properties=species:S:1:pos:R:3 pbc="T T T"
Li 1.371 2.734 0.000
Li 2.734 6.839 0.000
Li 5.476 1.371 0.000
Li 6.839 5.476 0.000
Ge 0.000 0.000 1.708
Ge 4.105 4.105 1.708
Pb 1.121 5.226 1.708
Pb 2.984 1.121 1.708
Pb 5.226 7.089 1.708
Pb 7.089 2.984 1.708
```

- Spin magnetization: 0.00 μB/f.u.
- Crystal system: tetragonal

=====

#b
The following is a DFT calculation (GGA-PBE) of an optimized crystal structure of Li2GePb2.

The structure in extended XYZ format:
```
5
Lattice="-2.109 2.109 6.778 2.109 -2.109 6.778 2.109 2.109 -6.778" Properties=species:S:1:pos:R:3 pbc="T T T"
Li 2.109 0.000 3.389
Li 0.000 2.109 3.389
Ge 0.000 0.000 0.000
Pb 0.000 0.000 5.336
Pb 0.000 0.000 8.219
```

- Spin magnetization: 0.00 μB/f.u.
- Crystal system: tetragonal

=====

#c
The following is a DFT calculation (GGA-PBE) of an optimized crystal structure of Li2GePb2.

The structure in extended XYZ format:
```
10
Lattice="7.010 0.000 0.000 0.000 7.010 0.000 0.000 0.000 4.470" Properties=species:S:1:pos:R:3 pbc="T T T"
Li 1.002 2.503 0.000
Li 2.503 6.008 0.000
Li 4.507 1.002 0.000
Li 6.008 4.507 0.000
Ge 0.000 0.000 0.000
Ge 3.505 3.505 0.000
Pb 1.206 4.711 2.235
Pb 2.299 1.206 2.235
Pb 4.711 5.805 2.235
Pb 5.805 2.299 2.235
```

- Spin magnetization: 0.00 μB/f.u.
- Crystal system: tetragonal

=====

What are the relative energies? In meV per atom: #a 85; #b 209; #c 0.

=====

#a
The following is a DFT calculation (GGA-PBE) of an optimized crystal structure of Li3GePd6.

The structure in extended XYZ format:
```
20
Lattice="5.301 3.061 3.188 -5.301 3.061 3.188 0.000 -6.122 3.188" Properties=species:S:1:pos:R:3 pbc="T T T"
Li -1.492 -0.861 2.461
Li 1.492 -0.861 2.461
Li 0.000 1.723 2.461
Li 0.000 -1.723 7.104
Li -1.492 0.861 7.104
Li 1.492 0.861 7.104
Ge 0.000 0.000 0.000
Ge 0.000 0.000 4.783
Pd 0.000 -3.639 2.732
Pd -3.152 1.820 2.732
Pd -1.359 -2.354 4.783
Pd -2.718 0.000 4.783
Pd -3.152 -1.820 6.833
Pd 1.359 -2.354 4.783
Pd -1.359 2.354 4.783
Pd 3.152 1.820 2.732
Pd 2.718 0.000 4.783
Pd 1.359 2.354 4.783
Pd 3.152 -1.820 6.833
Pd 0.000 3.639 6.833
```

- Spin magnetization: 0.00 μB/f.u.
- Crystal system: trigonal

=====

#b
The following is a DFT calculation (GGA-PBE) of an optimized crystal structure of Li3GePd6.

The structure in extended XYZ format:
```
20
Lattice="7.363 0.000 0.000 0.000 4.403 0.000 -2.827 0.000 8.821" Properties=species:S:1:pos:R:3 pbc="T T T"
Li -0.833 1.101 3.418
Li 0.432 3.302 1.754
Li -0.805 1.101 8.670
Li 5.341 3.302 0.151
Li 4.105 1.101 7.068
Li 5.370 3.302 5.403
Ge 1.514 1.101 5.363
Ge 3.023 3.302 3.459
Pd -2.309 3.302 8.005
Pd -0.887 1.101 6.000
Pd 0.523 3.302 4.355
Pd 0.246 3.302 7.163
Pd 1.702 1.101 2.735
Pd 2.810 3.302 1.020
Pd 1.727 1.101 7.801
Pd 2.835 3.302 6.086
Pd 4.291 1.101 1.658
Pd 4.014 1.101 4.466
Pd 5.424 3.302 2.821
Pd 6.846 1.101 0.817
```

- Spin magnetization: 0.00 μB/f.u.
- Crystal system: monoclinic

=====

What are the relative energies? In meV per atom: #a 106; #b 0.